YBeGa | GGA-PBE | optimized geometry

* spin magnetization: 0.00 μB/cell
* space group: P6_3/mmc
* Fermi-level density of states: 3.655 states/eV/f.u.
* E above lowest polymorph: 2.77 eV/f.u.
* electronic total energy: -23.49 eV/cell

Cell lengths 3.854, 3.854, 11.101 Å; angles 90.00, 90.00, 120.00 degrees
Element x y z (fractional)
Ga1 0.000 0.000 0.750
Ga2 0.000 0.000 0.250
Y1 0.000 0.000 0.000
Y2 0.000 0.000 0.500
Be1 0.333 0.667 0.250
Be2 0.667 0.333 0.750

---

Y2Be2Ga | GGA-PBE | optimized geometry

* spin magnetization: 0.00 μB/cell
* space group: P4/mbm
* Fermi-level density of states: 5.504 states/eV/f.u.
* electronic total energy: -48.70 eV/cell

Cell lengths 6.610, 6.610, 4.311 Å; angles 90.00, 90.00, 90.00 degrees
Element x y z (fractional)
Be1 0.382 0.882 0.000
Be2 0.118 0.382 0.000
Be3 0.882 0.618 0.000
Be4 0.618 0.118 0.000
Ga1 0.500 0.500 0.000
Ga2 0.000 0.000 0.000
Y1 0.823 0.323 0.500
Y2 0.677 0.823 0.500
Y3 0.323 0.177 0.500
Y4 0.177 0.677 0.500

---

YBeGa | GGA-PBE | optimized geometry

* spin magnetization: 0.00 μB/cell
* space group: C2/m
* Fermi-level density of states: 1.893 states/eV/f.u.
* E above lowest polymorph: 0.19 eV/f.u.
* electronic total energy: -28.66 eV/cell

Cell lengths 5.585, 5.665, 3.987 Å; angles 69.42, 69.14, 90.89 degrees
Element x y z (fractional)
Y1 0.206 0.285 0.804
Y2 0.817 0.650 0.316
Be1 0.202 0.879 0.509
Be2 0.821 0.056 0.611
Ga1 0.621 0.176 0.151
Ga2 0.403 0.759 0.969